1.
# Ag12Te3As5 (GGA-PBE, optimized geometry)
# electronic total energy: -496.76 eV for the cell shown
# crystal system: cubic
# total moment: 0.0 μB/f.u.
data_Ag12Te3As5
_cell_length_a 15.781
_cell_length_b 15.781
_cell_length_c 15.781
_cell_angle_alpha 90.00
_cell_angle_beta 90.00
_cell_angle_gamma 90.00
_symmetry_space_group_name_H-M 'I a -3 d'
_symmetry_Int_Tables_number 230
_symmetry_space_group_name_Hall '-I 4bd 2c 3'
loop_
_atom_site_label
_atom_site_type_symbol
_atom_site_fract_x
_atom_site_fract_y
_atom_site_fract_z
Ag1 Ag 0.021 0.072 0.649
Te1 Te 0.000 0.250 0.125
As1 As 0.000 0.000 0.000
As2 As 0.000 0.250 0.375

2.
# TlAgTe3As (GGA-PBE, optimized geometry)
# electronic total energy: -39.34 eV for the cell shown
# crystal system: monoclinic
# total moment: 0.0 μB/f.u.
data_TlAgTe3As
_cell_length_a 9.409
_cell_length_b 3.959
_cell_length_c 10.250
_cell_angle_alpha 90.00
_cell_angle_beta 106.16
_cell_angle_gamma 90.00
_symmetry_space_group_name_H-M 'P 1 21/m 1'
_symmetry_Int_Tables_number 11
loop_
_symmetry_equiv_pos_as_xyz
'x,y,z'
'-x,-y,-z'
'-x,y+1/2,-z'
'x,-y+1/2,z'
loop_
_atom_site_label
_atom_site_type_symbol
_atom_site_fract_x
_atom_site_fract_y
_atom_site_fract_z
Tl1 Tl 0.202 0.250 0.272
Ag1 Ag 0.059 0.250 0.606
Te1 Te 0.114 0.250 0.893
Te2 Te 0.254 0.750 0.550
Te3 Te 0.455 0.750 0.156
As1 As 0.330 0.750 0.883

3.
# Tl2AgTe4As (GGA-PBE, optimized geometry)
# electronic total energy: -25.54 eV for the cell shown
# crystal system: monoclinic
# total moment: 0.0 μB/f.u.
data_Tl2AgTe4As
_cell_length_a 7.575
_cell_length_b 4.294
_cell_length_c 7.752
_cell_angle_alpha 90.00
_cell_angle_beta 108.81
_cell_angle_gamma 90.00
_symmetry_space_group_name_H-M 'P 1 2/m 1'
_symmetry_Int_Tables_number 10
loop_
_symmetry_equiv_pos_as_xyz
'x,y,z'
'-x,-y,-z'
'-x,y,-z'
'x,-y,z'
loop_
_atom_site_label
_atom_site_type_symbol
_atom_site_fract_x
_atom_site_fract_y
_atom_site_fract_z
Tl1 Tl 0.000 0.000 0.000
Tl2 Tl 0.500 0.500 0.000
Ag1 Ag 0.000 0.500 0.500
Te1 Te 0.239 0.000 0.712
Te2 Te 0.268 0.500 0.287
As1 As 0.500 0.000 0.500